<i>
LaSm3Ho | PBE | optimized geometry

Structure (POSCAR):
```
LaSm3Ho
1.0
8.833 -3.418 0.000
8.833 3.418 0.000
-2.046 0.000 5.666
La Sm Ho
2 6 2
direct
0.000 0.000 0.000
0.000 0.000 0.500
0.113 0.580 0.596
0.229 0.229 0.978
0.420 0.887 0.404
0.580 0.113 0.596
0.771 0.771 0.022
0.887 0.420 0.404
0.450 0.450 0.200
0.550 0.550 0.800
```

Output
V: 342.07 Å³ per cell
size of the total moment: 0.001 μB/f.u.
crystal system: monoclinic
space-group type: C2/m

***

<ii>
LaSm3Ho | PBE | optimized geometry

Structure (POSCAR):
```
LaSm3Ho
1.0
10.265 0.000 0.000
0.000 3.633 0.000
0.000 0.000 18.185
La Sm Ho
4 12 4
direct
0.128 0.250 0.051
0.372 0.750 0.551
0.628 0.250 0.449
0.872 0.750 0.949
0.121 0.250 0.449
0.125 0.250 0.250
0.126 0.250 0.849
0.374 0.750 0.349
0.375 0.750 0.750
0.379 0.750 0.949
0.621 0.250 0.051
0.625 0.250 0.250
0.626 0.250 0.651
0.874 0.750 0.151
0.875 0.750 0.750
0.879 0.750 0.551
0.122 0.250 0.651
0.378 0.750 0.151
0.622 0.250 0.849
0.878 0.750 0.349
```

Output
V: 678.09 Å³ per cell
size of the total moment: 0.000 μB/f.u.
crystal system: orthorhombic
space-group type: Pnma

***

List of relative energies, unit meV/atom: <i> 170; <ii> 0